CaCd2CuAu4 | GGA-PBE | relaxed

```
data_CaCd2CuAu4
_space_group_name_H-M_alt 'R -3 m'
_space_group_IT_number 166
_space_group_name_Hall '-R 3 2"'
_cell_length_a 4.8036
_cell_length_b 4.8036
_cell_length_c 23.4654
_cell_angle_alpha 90.00
_cell_angle_beta 90.00
_cell_angle_gamma 120.00
loop_
_atom_site_label
_atom_site_type_symbol
_atom_site_fract_x
_atom_site_fract_y
_atom_site_fract_z
Ca1 Ca 0.0000 0.0000 0.0000
Cd1 Cd 0.0000 0.0000 0.2525
Cu1 Cu 0.0000 0.0000 0.5000
Au1 Au 0.0000 0.0000 0.1312
Au2 Au 0.0000 0.0000 0.3879
```

Values from the calculation:
Energy of formation (eV/atom): -0.29